# Li2Pb3 | the Alexandria database | PBE | relaxed
# Spin magnetization (μB per cell): 0.00
# Formation energy (eV per formula unit): -0.3
# Raw total energy (eV per atom): -3.047
data_Li2Pb3
_chemical_formula_sum 'Li6 Pb9'
_symmetry_space_group_name_H-M 'R -3 m'
_symmetry_Int_Tables_number 166
_symmetry_space_group_name_Hall '-R 3 2"'
_cell_length_a 6.6508
_cell_length_b 6.6508
_cell_length_c 10.3144
_cell_angle_alpha 90.00
_cell_angle_beta 90.00
_cell_angle_gamma 120.00
loop_
_atom_site_label
_atom_site_type_symbol
_atom_site_fract_x
_atom_site_fract_y
_atom_site_fract_z
Li1 Li 0.0000 0.0000 0.1237
Pb1 Pb 0.0000 0.5000 0.0000